Crystalline LiCr2Pt at its relaxed geometry, computed with PBE.

final energy: -26.8 eV per cell
N(E_F): 4.0 states/eV/cell
space group: No. 12
spin magnetization: 0.0 μB per formula unit
energy of formation: 10 kJ per mole of atoms

a = 4.8794 Å, b = 4.8794 Å, c = 2.5697 Å
α = 95.63°, β = 95.63°, γ = 122.19°
Closest atoms and distances in Å follow each position.
Sites, in units of the cell vectors:
Li: 0.0000 0.0000 0.0000  2 Pt 2.36, 2 Li 2.57
Cr: 0.0000 0.5000 0.5000  4 Cr 2.36-2.57
Cr: 0.5000 0.0000 0.5000  4 Cr 2.36-2.57
Pt: 0.5000 0.5000 0.0000  2 Li 2.36, 2 Pt 2.57